The following is a PBE+U calculation of MoI2F after structural relaxation, from Alexandria via LeMat-Bulk.

Geometry as extended XYZ:
```
4
Lattice="0.000 3.567 3.567 3.567 0.000 3.567 3.567 3.567 0.000" Properties=species:S:1:pos:R:3 pbc="T T T"
I 5.350 5.350 5.350
Mo 3.567 3.567 3.567
I 1.783 1.783 1.783
F 0.000 0.000 0.000
```

As for the symmetry: No. 225. For the density of states at the Fermi level, the calculation gives 0.344 states/eV per atom. As for the total magnetic moment: 3.00 μB/cell. For the total energy, the calculation gives -12.8 eV/cell. Its energy above the most stable polymorph in this dataset is 0.000 eV/f.u.